This record from Alexandria via LeMat-Bulk describes a relaxed structure of Li2Tl3RhF9. The functional is GGA-PBE.

Geometry as POSCAR:
```
Li2Tl3RhF9
1.0
5.9499 0.0000 0.0000
-2.9749 5.1527 0.0000
0.0000 0.0000 7.4861
Li Tl Rh F
2 3 1 9
Cartesian
0.0000 3.4352 0.8940
2.9749 1.7176 6.5921
0.0000 0.0000 0.0000
0.0000 3.4352 5.3007
2.9749 1.7176 2.1854
0.0000 0.0000 3.7430
-1.4875 2.5764 0.0000
0.0000 1.5968 2.5940
-1.5920 4.3543 2.5940
1.3829 0.7984 4.8921
2.9749 0.0000 0.0000
1.4875 2.5764 0.0000
1.5920 4.3543 2.5940
4.5670 0.7984 4.8921
2.9749 3.5559 4.8921
```

Output
E (Ry/atom): -0.3217
Symmetry: P-3m1 (164)
ρ (g/cm³): 6.52
E_form (uncorrected) (eV/atom): -2.0350